{
  "formula": "BaAs2",
  "functional": "meta-GGA SCAN",
  "state": "single point on PBEsol structure",
  "final_energy_ev_per_cell": -496.2,
  "lattice": [[-4.680, -0.563, 4.568], [-3.222, -0.533, -5.690], [1.680, -12.325, 0.202]],
  "species": ["Ba", "As", "As", "As", "As", "As", "As", "As", "Ba", "As", "As", "As", "Ba", "Ba", "Ba", "As", "As", "Ba"],
  "frac_coords": [[0.646, 0.817, 0.277], [0.184, 0.961, 0.340], [0.240, 0.715, 0.110], [0.823, 0.152, 0.080], [0.991, 0.982, 0.505], [0.323, 0.652, 0.920], [0.882, 0.502, 0.158], [0.491, 0.482, 0.495], [0.350, 0.251, 0.077], [0.740, 0.215, 0.890], [0.382, 0.002, 0.842], [0.018, 0.760, 0.660], [0.850, 0.751, 0.923], [0.012, 0.458, 0.419], [0.146, 0.317, 0.723], [0.684, 0.461, 0.660], [0.518, 0.260, 0.340], [0.512, 0.958, 0.581]]
}